Here is crystalline BeTePd at its relaxed geometry from Alexandria. Energies are from PBE-GGA.

POSCAR file:
```
BeTePd
1.0
4.380 0.000 0.000
-2.043 3.874 0.000
-1.351 -1.807 7.265
Be Te Pd
2 2 2
direct
0.243 0.243 0.000
0.757 0.757 0.000
0.439 0.274 0.711
0.561 0.726 0.289
0.179 0.698 0.876
0.821 0.302 0.124
```

Output
Energy relative to the elements, uncorrected ... -0.33 eV/atom

Here is crystalline La3Sb2Br at its relaxed geometry from Alexandria. Energies are from PBE-GGA.

POSCAR file:
```
La3Sb2Br
1.0
4.580 0.000 0.000
0.000 6.416 0.000
0.000 0.000 13.644
La Sb Br
6 4 2
direct
0.000 0.000 0.000
0.000 0.000 0.327
0.000 0.000 0.673
0.500 0.500 0.173
0.500 0.500 0.500
0.500 0.500 0.827
0.000 0.500 0.335
0.000 0.500 0.665
0.500 0.000 0.165
0.500 0.000 0.835
0.000 0.500 0.000
0.500 0.000 0.500
```

Output
Energy relative to the elements, uncorrected ... -1.34 eV/atom

Here is crystalline HoCd3Pd7 at its relaxed geometry from Alexandria. Energies are from PBE-GGA.

POSCAR file:
```
HoCd3Pd7
1.0
4.556 -4.744 0.000
4.556 4.744 0.000
-2.128 0.000 4.877
Ho Cd Pd
1 3 7
direct
0.000 0.000 0.000
0.284 0.716 0.500
0.500 0.500 0.000
0.716 0.284 0.500
0.000 0.000 0.500
0.082 0.563 0.819
0.289 0.289 0.460
0.437 0.918 0.181
0.563 0.082 0.819
0.711 0.711 0.540
0.918 0.437 0.181
```

Output
ΔH_f (0 K) ... -0.283 eV/atom

Here is crystalline CaTaCoP2 at its relaxed geometry from Alexandria. Energies are from PBE-GGA.

POSCAR file:
```
CaTaCoP2
1.0
4.441 0.000 0.000
0.000 4.441 0.000
0.000 0.000 4.506
Ca Ta Co P
1 1 1 2
direct
0.000 0.000 0.000
0.500 0.500 0.000
0.000 0.000 0.500
0.000 0.500 0.500
0.500 0.000 0.500
```

Output
ΔH_f (0 K) ... 0.654 eV/atom

Here is crystalline Tb3Pr7Tm at its relaxed geometry from Alexandria. Energies are from PBE-GGA.

POSCAR file:
```
Tb3Pr7Tm
1.0
9.778 -3.606 0.000
9.778 3.606 0.000
-5.838 0.000 11.371
Tb Pr Tm
6 14 2
direct
0.000 0.000 0.000
0.000 0.000 0.500
0.326 0.331 0.727
0.331 0.326 0.227
0.669 0.674 0.773
0.674 0.669 0.273
0.085 0.580 0.473
0.091 0.581 0.979
0.155 0.161 0.772
0.161 0.155 0.272
0.300 0.700 0.750
0.419 0.909 0.521
0.420 0.915 0.027
0.580 0.085 0.973
0.581 0.091 0.479
0.700 0.300 0.250
0.839 0.845 0.728
0.845 0.839 0.228
0.909 0.419 0.021
0.915 0.420 0.527
0.500 0.500 0.000
0.500 0.500 0.500
```

Output
ΔH_f (0 K) ... 0.185 eV/atom

Here is crystalline Cr3MoBr at its relaxed geometry from Alexandria. Energies are from PBE-GGA.

POSCAR file:
```
Cr3MoBr
1.0
4.482 0.000 0.000
0.000 4.482 0.000
0.000 0.000 4.482
Cr Mo Br
3 1 1
direct
0.000 0.000 0.500
0.000 0.500 0.000
0.500 0.000 0.000
0.500 0.500 0.500
0.000 0.000 0.000
```

Output
Energy relative to the elements, uncorrected ... 1.55 eV/atom

Here is crystalline Li2ZnRu at its relaxed geometry from Alexandria. Energies are from PBE-GGA.

POSCAR file:
```
Li2ZnRu
1.0
3.623 0.000 0.000
0.000 3.623 0.000
0.000 0.000 8.261
Li Zn Ru
4 2 2
direct
0.000 0.500 0.250
0.000 0.500 0.750
0.500 0.000 0.250
0.500 0.000 0.750
0.000 0.000 0.000
0.500 0.500 0.500
0.000 0.000 0.500
0.500 0.500 0.000
```

Output
ΔH_f (0 K) ... 0.020 eV/atom

Here is crystalline CaTb2Ti at its relaxed geometry from Alexandria. Energies are from PBE-GGA.

POSCAR file:
```
CaTb2Ti
1.0
3.551 0.000 0.000
0.000 3.551 0.000
0.000 0.000 9.503
Ca Tb Ti
1 2 1
direct
0.000 0.000 0.000
0.500 0.500 0.300
0.500 0.500 0.700
0.000 0.000 0.500
```

Output
ΔH_f (0 K) ... 0.174 eV/atom

| no. | uncorrected energy (Ha/atom) |
| --- | --- |
| 1 | -0.1600 |
| 2 | -0.2005 |
| 3 | -0.1563 |
| 4 | -0.2096 |
| 5 | -0.1663 |
| 6 | -0.2472 |
| 7 | -0.1313 |
| 8 | -0.1696 |